The following is a DFT calculation (PBE-GGA) of a geometry-optimized Mg2CdInHg8 structure.

Unit cell a=6.4411 b=6.4411 c=8.6803 alpha=90.00 beta=90.00 gamma=120.00
With the nearest neighbours (Å) after each atom.
Fractional coordinates of all 12 atoms:
Mg  0.3333  0.6667  0.4304  4 Hg 2.99-3.20
Mg  0.6667  0.3333  0.5696  4 Hg 2.99-3.20
Cd  0.0000  0.0000  0.5000  6 Hg 2.88
In  0.0000  0.0000  0.0000  6 Hg 3.00
Hg  0.1782  0.3563  0.7404  1 Cd 2.88, 2 Hg 3.00, 1 In 3.00, 1 Mg 3.20
Hg  0.1782  0.8218  0.7404  1 Cd 2.88, 2 Hg 3.00, 1 In 3.00, 1 Mg 3.20
Hg  0.3333  0.6667  0.0861  1 Mg 2.99
Hg  0.3563  0.1782  0.2596  1 Cd 2.88, 2 Hg 3.00, 1 In 3.00, 1 Mg 3.20
Hg  0.6437  0.8218  0.7404  1 Cd 2.88, 2 Hg 3.00, 1 In 3.00, 1 Mg 3.20
Hg  0.6667  0.3333  0.9139  1 Mg 2.99
Hg  0.8218  0.1782  0.2596  1 Cd 2.88, 2 Hg 3.00, 1 In 3.00, 1 Mg 3.20
Hg  0.8218  0.6437  0.2596  1 Cd 2.88, 2 Hg 3.00, 1 In 3.00, 1 Mg 3.20

The total magnetization is 0.00 μB/f.u. As for the energy of formation: 48 meV/atom. Its space group is P-3m1.

***

The following is a DFT calculation (PBE-GGA) of a geometry-optimized Ti2TlRh4 structure.

Unit cell a=4.9061 b=4.9061 c=12.4859 alpha=90.00 beta=90.00 gamma=90.00
With the nearest neighbours (Å) after each atom.
Fractional coordinates of all 14 atoms:
Ti  0.0000  0.0000  0.1135  1 Rh 2.07
Ti  0.0000  0.0000  0.8865  1 Rh 2.07
Ti  0.5000  0.5000  0.3865  1 Rh 2.07
Ti  0.5000  0.5000  0.6135  1 Rh 2.07
Tl  0.0000  0.0000  0.5000  4 Rh 2.45
Tl  0.5000  0.5000  0.0000  4 Rh 2.45
Rh  0.0000  0.0000  0.2791  1 Ti 2.07
Rh  0.0000  0.0000  0.7209  1 Ti 2.07
Rh  0.0000  0.5000  0.0000  2 Tl 2.45
Rh  0.0000  0.5000  0.5000  2 Tl 2.45
Rh  0.5000  0.0000  0.0000  2 Tl 2.45
Rh  0.5000  0.0000  0.5000  2 Tl 2.45
Rh  0.5000  0.5000  0.2209  1 Ti 2.07
Rh  0.5000  0.5000  0.7791  1 Ti 2.07

The total magnetization is 0.00 μB/f.u. As for the energy of formation: 634 meV/atom. Its space group is I4/mmm.

***

The following is a DFT calculation (PBE-GGA) of a geometry-optimized Ac2Be4PdPt3 structure.

Unit cell a=4.1669 b=4.1669 c=10.1152 alpha=90.00 beta=90.00 gamma=90.00
With the nearest neighbours (Å) after each atom.
Fractional coordinates of all 10 atoms:
Ac  0.0000  0.5000  0.2485  6 Pt 3.23-3.29, 8 Be 3.26-3.28, 2 Pd 3.29
Ac  0.5000  0.0000  0.7515  6 Pt 3.23-3.29, 8 Be 3.26-3.28, 2 Pd 3.29
Be  0.0000  0.0000  0.0000  4 Pt 2.40
Be  0.0000  0.5000  0.6084  2 Pd 2.35, 2 Pt 2.35
Be  0.5000  0.0000  0.3916  2 Pd 2.35, 2 Pt 2.35
Be  0.5000  0.5000  0.0000  4 Pt 2.40
Pd  0.0000  0.0000  0.5000  4 Be 2.35
Pt  0.0000  0.5000  0.8816  4 Be 2.40
Pt  0.5000  0.0000  0.1184  4 Be 2.40
Pt  0.5000  0.5000  0.5000  4 Be 2.35

The total magnetization is 0.00 μB/f.u. As for the energy of formation: -722 meV/atom. Its space group is P-4m2.

***

The following is a DFT calculation (PBE-GGA) of a geometry-optimized Rb11ClO5 structure.

Unit cell a=8.8328 b=8.8328 c=9.0160 alpha=99.98 beta=99.98 gamma=115.35
With the nearest neighbours (Å) after each atom.
Fractional coordinates of all 17 atoms:
Rb  0.0000  0.0000  0.0000  4 O 3.01
Rb  0.1143  0.6995  0.1474  3 O 2.71-2.98
Rb  0.1565  0.4007  0.4572  2 O 2.64-2.71
Rb  0.3005  0.8857  0.8526  3 O 2.71-2.98
Rb  0.3963  0.3963  0.1746  3 O 2.78-2.80
Rb  0.4007  0.1565  0.4572  2 O 2.64-2.71
Rb  0.5993  0.8435  0.5428  2 O 2.64-2.71
Rb  0.6037  0.6037  0.8254  3 O 2.78-2.80
Rb  0.6995  0.1143  0.1474  3 O 2.71-2.98
Rb  0.8435  0.5993  0.5428  2 O 2.64-2.71
Rb  0.8857  0.3005  0.8526  3 O 2.71-2.98
Cl  0.0000  0.0000  0.5000  4 Rb 3.33
O  0.0612  0.3598  0.1523  4 Rb 2.64-2.84
O  0.3598  0.0612  0.1523  4 Rb 2.64-2.84
O  0.5000  0.5000  0.5000  6 Rb 2.71-2.78
O  0.6402  0.9388  0.8477  4 Rb 2.64-2.84
O  0.9388  0.6402  0.8477  4 Rb 2.64-2.84

As for the formation energy without anion corrections: -1.00 eV/atom. The total magnetization is 0.35 μB/f.u. Its space group is C2/m.

***

The following is a DFT calculation (PBE-GGA) of a geometry-optimized ScTi2In2 structure.

Unit cell a=7.8444 b=7.8444 c=3.3978 alpha=90.00 beta=90.00 gamma=90.00
With the nearest neighbours (Å) after each atom.
Fractional coordinates of all 10 atoms:
Sc  0.0000  0.0000  0.0000  4 In 3.07, 8 Ti 3.37, 2 Sc 3.40
Sc  0.5000  0.5000  0.0000  4 In 3.07, 8 Ti 3.37, 2 Sc 3.40
Ti  0.1707  0.3293  0.5000  6 In 2.78-2.93
Ti  0.3293  0.8293  0.5000  6 In 2.78-2.93
Ti  0.6707  0.1707  0.5000  6 In 2.78-2.93
Ti  0.8293  0.6707  0.5000  6 In 2.78-2.93
In  0.1309  0.6309  0.0000  6 Ti 2.78-2.93, 1 In 2.90, 2 Sc 3.07
In  0.3691  0.1309  0.0000  6 Ti 2.78-2.93, 1 In 2.90, 2 Sc 3.07
In  0.6309  0.8691  0.0000  6 Ti 2.78-2.93, 1 In 2.90, 2 Sc 3.07
In  0.8691  0.3691  0.0000  6 Ti 2.78-2.93, 1 In 2.90, 2 Sc 3.07

The total magnetization is 0.00 μB/f.u. As for the energy of formation: -63 meV/atom. The calculation puts the energy above the most stable polymorph in this dataset at 0 meV/atom. Its space group is P4/mbm.

***

The following is a DFT calculation (PBE-GGA) of a geometry-optimized LaGe2 structure.

Unit cell a=4.3119 b=4.3119 c=15.7245 alpha=90.00 beta=90.00 gamma=90.00
With the nearest neighbours (Å) after each atom.
Fractional coordinates of all 12 atoms:
La  0.0000  0.2500  0.3750  12 Ge 3.31-3.41
La  0.0000  0.7500  0.6250  12 Ge 3.31-3.41
La  0.5000  0.2500  0.1250  12 Ge 3.31-3.41
La  0.5000  0.7500  0.8750  12 Ge 3.31-3.41
Ge  0.0000  0.2500  0.7934  3 Ge 2.55-2.57
Ge  0.0000  0.2500  0.9566  3 Ge 2.55-2.57
Ge  0.0000  0.7500  0.0434  3 Ge 2.55-2.57
Ge  0.0000  0.7500  0.2066  3 Ge 2.55-2.57
Ge  0.5000  0.2500  0.5434  3 Ge 2.55-2.57
Ge  0.5000  0.2500  0.7066  3 Ge 2.55-2.57
Ge  0.5000  0.7500  0.2934  3 Ge 2.55-2.57
Ge  0.5000  0.7500  0.4566  3 Ge 2.55-2.57

The total magnetization is 0.00 μB/f.u. As for the energy of formation: -694 meV/atom. Its space group is I4_1/amd.

***

The following is a DFT calculation (PBE-GGA) of a geometry-optimized LiLaTbMn structure.

Unit cell a=7.3205 b=7.3205 c=7.3205 alpha=90.00 beta=90.00 gamma=90.00
With the nearest neighbours (Å) after each atom.
Fractional coordinates of all 16 atoms:
Li  0.0000  0.0000  0.0000  4 La 3.17, 4 Tb 3.17
Li  0.0000  0.5000  0.5000  4 La 3.17, 4 Tb 3.17
Li  0.5000  0.0000  0.5000  4 La 3.17, 4 Tb 3.17
Li  0.5000  0.5000  0.0000  4 La 3.17, 4 Tb 3.17
La  0.2500  0.2500  0.7500  4 Mn 3.17, 4 Li 3.17
La  0.2500  0.7500  0.2500  4 Mn 3.17, 4 Li 3.17
La  0.7500  0.2500  0.2500  4 Mn 3.17, 4 Li 3.17
La  0.7500  0.7500  0.7500  4 Mn 3.17, 4 Li 3.17
Tb  0.2500  0.2500  0.2500  4 Li 3.17, 4 Mn 3.17
Tb  0.2500  0.7500  0.7500  4 Li 3.17, 4 Mn 3.17
Tb  0.7500  0.2500  0.7500  4 Li 3.17, 4 Mn 3.17
Tb  0.7500  0.7500  0.2500  4 Li 3.17, 4 Mn 3.17
Mn  0.0000  0.0000  0.5000  4 Tb 3.17, 4 La 3.17
Mn  0.0000  0.5000  0.0000  4 Tb 3.17, 4 La 3.17
Mn  0.5000  0.0000  0.0000  4 Tb 3.17, 4 La 3.17
Mn  0.5000  0.5000  0.5000  4 Tb 3.17, 4 La 3.17

The total magnetization is 2.43 μB/f.u. As for the energy of formation: 156 meV/atom. Its space group is F-43m.

***

The following is a DFT calculation (PBE-GGA) of a geometry-optimized Sc2Zn16Ru structure.

Unit cell a=6.7057 b=6.7057 c=6.7057 alpha=82.82 beta=82.82 gamma=82.82
With the nearest neighbours (Å) after each atom.
Fractional coordinates of all 19 atoms:
Sc  0.0000  0.0000  0.0000  16 Zn 3.02-3.38
Sc  0.3521  0.3521  0.3521  1 Ru 2.73, 3 Zn 3.01
Zn  0.0252  0.0252  0.4916  8 Zn 2.53-2.81
Zn  0.0252  0.4916  0.0252  8 Zn 2.53-2.81
Zn  0.1636  0.6611  0.6611  9 Zn 2.52-2.69, 1 Ru 2.69
Zn  0.3058  0.3058  0.8075  8 Zn 2.53-2.76, 1 Ru 2.82
Zn  0.3058  0.8075  0.3058  8 Zn 2.53-2.76, 1 Ru 2.82
Zn  0.3687  0.6587  0.9517  8 Zn 2.52-2.81
Zn  0.3687  0.9517  0.6587  8 Zn 2.52-2.81
Zn  0.4916  0.0252  0.0252  8 Zn 2.53-2.81
Zn  0.6587  0.3687  0.9517  8 Zn 2.52-2.81
Zn  0.6587  0.9517  0.3687  8 Zn 2.52-2.81
Zn  0.6611  0.1636  0.6611  9 Zn 2.52-2.69, 1 Ru 2.69
Zn  0.6611  0.6611  0.1636  9 Zn 2.52-2.69, 1 Ru 2.69
Zn  0.7672  0.7672  0.7672  1 Ru 2.66, 12 Zn 2.69-2.94
Zn  0.8075  0.3058  0.3058  8 Zn 2.53-2.76, 1 Ru 2.82
Zn  0.9517  0.3687  0.6587  8 Zn 2.52-2.81
Zn  0.9517  0.6587  0.3687  8 Zn 2.52-2.81
Ru  0.5622  0.5622  0.5622  13 Zn 2.66-2.88, 1 Sc 2.73

The total magnetization is 0.00 μB/f.u. As for the energy of formation: -162 meV/atom. Its space group is R3m.